(1)
Entry from the Alexandria database: a geometry-optimized Nd2TmTl structure (GGA-PBE).

Results
E_form: -0.139 eV/atom
Total moment: 0.0 μB/f.u.
Distance to the lowest polymorph of the same formula: 51 meV/atom

abc: 3.6587 3.6587 9.4730
angles: 90.00 90.00 90.00
Last column: nearest neighbours and their distance in Å.
Space group P4/mmm (No. 123)
Symmetry-distinct sites (fractional):
Nd  0.0000  0.0000  0.2332 [2 per cell]  4 Tl 3.40, 4 Tm 3.62, 4 Nd 3.66
Tm  0.5000  0.5000  0.5000 [1 per cell]  8 Nd 3.62, 4 Tm 3.66
Tl  0.5000  0.5000  0.0000 [1 per cell]  8 Nd 3.40, 4 Tl 3.66

***

(2)
Entry from the Alexandria database: a geometry-optimized BaPt2Pb2 structure (GGA-PBE).

Results
E_form: -0.205 eV/atom
Total moment: 0.0 μB/f.u.

abc: 8.6695 8.6695 3.3605
angles: 90.00 90.00 90.00
Last column: nearest neighbours and their distance in Å.
Space group P4/mbm (No. 127)
Symmetry-distinct sites (fractional):
Ba  0.0000  0.0000  0.0000 [2 per cell]  2 Ba 3.36, 4 Pb 3.40, 8 Pt 3.65
Pt  0.1649  0.3351  0.5000 [4 per cell]  6 Pb 3.02-3.08, 2 Pt 3.36
Pb  0.1306  0.6306  0.0000 [4 per cell]  6 Pt 3.02-3.08, 3 Pb 3.20-3.36